First-principles (PBE) data for an optimized crystal structure of LiSm2Hg2, as listed in the Alexandria database.

The structure belongs to space group Ibam (No. 72); the cell edges are 7.194, 12.649 and 5.919 Å and the angles 90.00°, 90.00° and 90.00°. The asymmetric unit holds Li at (0.000, 0.000, 0.250), Sm at (0.190, 0.326, 0.000) and Hg at (0.217, 0.419, 0.500).

The density of states at the Fermi level comes out at 12.83 states/eV/cell. The calculation puts the distance to the lowest polymorph of the same formula at 63 meV/atom.

---

First-principles (PBE) data for an optimized crystal structure of LiSmHg5, as listed in the Alexandria database.

The structure belongs to space group Cmmm (No. 65); the cell edges are 6.400, 8.555 and 6.665 Å and the angles 90.00°, 90.00° and 90.00°. The asymmetric unit holds Li at (0.000, 0.000, 0.000), Sm at (0.000, 0.500, 0.500), Hg at (0.000, 0.500, 0.000) and Hg at (0.250, 0.250, 0.251).

The density of states at the Fermi level comes out at 7.41 states/eV/cell.

---

First-principles (PBE) data for an optimized crystal structure of Li2SmSn2Hg2, as listed in the Alexandria database.

The structure belongs to space group R-3m (No. 166, hexagonal axes); the cell edges are 4.6868, 4.6868 and 25.3226 Å and the angles 90.00°, 90.00° and 120.00°. The asymmetric unit holds Li at (0.0000, 0.0000, 0.1422), Sm at (0.0000, 0.0000, 0.0000), Sn at (0.0000, 0.0000, 0.2650) and Hg at (0.0000, 0.0000, 0.4417).

The density of states at the Fermi level comes out at 6.44 states/eV/cell.

---

no.,formation energy from the elements (meV per atom)
1,-272
2,-223
3,-421